Computed, not measured: a relaxed ZrReNO crystal at the PBE level of DFT.

Excess energy over the best structure of this formula in the dataset, eV per atom: 0.2490

```
ZrReNO
1.0
-2.177 -2.137 1.196
-1.577 -1.259 -5.117
4.070 -4.260 -0.206
Zr O Re N
2 2 2 2
direct
0.000 0.973 0.633
0.000 0.473 0.367
0.500 0.385 0.115
0.500 0.885 0.885
0.500 0.540 0.769
0.500 0.040 0.231
0.000 0.856 0.268
0.000 0.356 0.732
```